[1]
First-principles (PBE-GGA) data for a relaxed structure of La8P3SeI4, as listed in Alexandria via LeMat-Bulk.

abc: 9.234 9.234 9.234
angles: 55.96 55.96 55.96
Sites, in units of the cell vectors:
La 0.221 0.737 0.737
La 0.231 0.231 0.231
La 0.263 0.263 0.779
La 0.263 0.779 0.263
La 0.737 0.221 0.737
La 0.737 0.737 0.221
La 0.769 0.769 0.769
La 0.779 0.263 0.263
P 0.000 0.000 0.500
P 0.000 0.500 0.000
P 0.500 0.000 0.000
Se 0.500 0.500 0.500
I 0.000 0.000 0.000
I 0.000 0.500 0.500
I 0.500 0.000 0.500
I 0.500 0.500 0.000

***

[2]
First-principles (PBE-GGA) data for a relaxed structure of La6PSe2I3, as listed in Alexandria via LeMat-Bulk.

abc: 7.504 7.504 8.171
angles: 98.81 98.81 119.97
Sites, in units of the cell vectors:
La 0.066 0.387 0.199
La 0.252 0.252 0.798
La 0.387 0.066 0.199
La 0.613 0.934 0.801
La 0.748 0.748 0.202
La 0.934 0.613 0.801
P 0.000 0.000 0.000
Se 0.334 0.666 0.000
Se 0.666 0.334 0.000
I 0.170 0.830 0.500
I 0.500 0.500 0.500
I 0.830 0.170 0.500

***

[3]
First-principles (PBE-GGA) data for a relaxed structure of La4PSeI2, as listed in Alexandria via LeMat-Bulk.

abc: 7.518 4.327 8.159
angles: 90.00 107.80 90.00
Sites, in units of the cell vectors:
La 0.221 0.000 0.196
La 0.254 0.500 0.800
La 0.746 0.500 0.200
La 0.779 0.000 0.804
P 0.000 0.500 0.000
Se 0.500 0.000 0.000
I 0.000 0.000 0.500
I 0.500 0.500 0.500

***

[4]
First-principles (PBE-GGA) data for a relaxed structure of La6P2Se3I, as listed in Alexandria via LeMat-Bulk.

abc: 9.676 9.676 8.767
angles: 102.19 102.19 25.79
Sites, in units of the cell vectors:
La 0.009 0.009 0.276
La 0.323 0.323 0.893
La 0.329 0.329 0.426
La 0.671 0.671 0.574
La 0.677 0.677 0.107
La 0.991 0.991 0.724
P 0.168 0.168 0.335
P 0.832 0.832 0.665
Se 0.161 0.161 0.835
Se 0.500 0.500 0.500
Se 0.839 0.839 0.165
I 0.500 0.500 0.000

***

[5]
First-principles (PBE-GGA) data for a relaxed structure of La4PSe2I, as listed in Alexandria via LeMat-Bulk.

abc: 7.503 4.343 7.710
angles: 90.00 109.10 90.00
Sites, in units of the cell vectors:
La 0.236 0.000 0.216
La 0.256 0.500 0.778
La 0.744 0.500 0.222
La 0.764 0.000 0.784
P 0.500 0.000 0.000
Se 0.000 0.000 0.500
Se 0.000 0.500 0.000
I 0.500 0.500 0.500

***

[6]
First-principles (PBE-GGA) data for a relaxed structure of LaSi2PI, as listed in Alexandria via LeMat-Bulk.

abc: 5.195 5.195 5.193
angles: 90.00 90.00 90.00
Sites, in units of the cell vectors:
La 0.000 0.000 0.000
Si 0.000 0.500 0.500
Si 0.500 0.000 0.500
P 0.500 0.500 0.000
I 0.500 0.500 0.500

***

[7]
First-principles (PBE-GGA) data for a relaxed structure of La4SiPI2, as listed in Alexandria via LeMat-Bulk.

abc: 7.538 4.361 8.259
angles: 90.00 107.77 90.00
Sites, in units of the cell vectors:
La 0.228 0.000 0.194
La 0.264 0.500 0.803
La 0.736 0.500 0.197
La 0.772 0.000 0.806
Si 0.500 0.000 0.000
P 0.000 0.500 0.000
I 0.000 0.000 0.500
I 0.500 0.500 0.500

***

[8]
First-principles (PBE-GGA) data for a relaxed structure of La8Si3PI4, as listed in Alexandria via LeMat-Bulk.

abc: 9.363 9.363 9.363
angles: 55.88 55.88 55.88
Sites, in units of the cell vectors:
La 0.233 0.233 0.233
La 0.235 0.731 0.731
La 0.269 0.269 0.765
La 0.269 0.765 0.269
La 0.731 0.235 0.731
La 0.731 0.731 0.235
La 0.765 0.269 0.269
La 0.767 0.767 0.767
Si 0.000 0.000 0.500
Si 0.000 0.500 0.000
Si 0.500 0.000 0.000
P 0.500 0.500 0.500
I 0.000 0.000 0.000
I 0.000 0.500 0.500
I 0.500 0.000 0.500
I 0.500 0.500 0.000

***

[9]
First-principles (PBE-GGA) data for a relaxed structure of La6Si2PI3, as listed in Alexandria via LeMat-Bulk.

abc: 7.581 7.581 8.259
angles: 98.80 98.80 119.99
Sites, in units of the cell vectors:
La 0.066 0.396 0.197
La 0.264 0.264 0.802
La 0.396 0.066 0.197
La 0.604 0.934 0.803
La 0.736 0.736 0.198
La 0.934 0.604 0.803
Si 0.334 0.666 0.000
Si 0.666 0.334 0.000
P 0.000 0.000 0.000
I 0.168 0.832 0.500
I 0.500 0.500 0.500
I 0.832 0.168 0.500

***

[10]
First-principles (PBE-GGA) data for a relaxed structure of La8SiP3I4, as listed in Alexandria via LeMat-Bulk.

abc: 9.292 9.292 9.292
angles: 55.65 55.65 55.65
Sites, in units of the cell vectors:
La 0.227 0.734 0.734
La 0.231 0.231 0.231
La 0.266 0.266 0.773
La 0.266 0.773 0.266
La 0.734 0.227 0.734
La 0.734 0.734 0.227
La 0.769 0.769 0.769
La 0.773 0.266 0.266
Si 0.500 0.500 0.500
P 0.000 0.000 0.500
P 0.000 0.500 0.000
P 0.500 0.000 0.000
I 0.000 0.000 0.000
I 0.000 0.500 0.500
I 0.500 0.000 0.500
I 0.500 0.500 0.000

***

[11]
First-principles (PBE-GGA) data for a relaxed structure of La2SmP2I2, as listed in Alexandria via LeMat-Bulk.

abc: 9.174 9.174 9.174
angles: 146.01 146.01 48.84
Sites, in units of the cell vectors:
La 0.098 0.098 0.000
La 0.902 0.902 0.000
Sm 0.500 0.500 0.000
P 0.000 0.500 0.500
P 0.500 0.000 0.500
I 0.307 0.307 0.000
I 0.693 0.693 0.000

***

[12]
First-principles (PBE-GGA) data for a relaxed structure of La8SnP3I4, as listed in Alexandria via LeMat-Bulk.

abc: 9.319 9.319 9.319
angles: 56.30 56.30 56.30
Sites, in units of the cell vectors:
La 0.213 0.744 0.744
La 0.230 0.230 0.230
La 0.256 0.256 0.787
La 0.256 0.787 0.256
La 0.744 0.213 0.744
La 0.744 0.744 0.213
La 0.770 0.770 0.770
La 0.787 0.256 0.256
Sn 0.500 0.500 0.500
P 0.000 0.000 0.500
P 0.000 0.500 0.000
P 0.500 0.000 0.000
I 0.000 0.000 0.000
I 0.000 0.500 0.500
I 0.500 0.000 0.500
I 0.500 0.500 0.000

***

Formation energy from raw total energies
In order: -1.478; -1.495; -1.487; -1.735; -1.670; 0.807; -1.244; -1.131; -1.170; -1.354; -1.234; -1.327
Unit: eV/atom
M_tot
In order: 0.00; 0.00; 0.00; 0.00; 0.00; 0.00; 0.00; 0.00; 0.00; 0.00; 0.91; 0.00
Unit: μB per cell